DFT (GGA-PBE) results for Li8CdGa2 after structural relaxation.

Unit cell a=4.493 b=4.493 c=10.396 alpha=102.66 beta=102.66 gamma=59.89
Element x y z (fractional)
Ga  0.543  0.543  0.629
Ga  0.457  0.457  0.371
Cd  0.000  0.000  0.000
Li  0.178  0.178  0.535
Li  0.822  0.822  0.465
Li  0.907  0.907  0.720
Li  0.633  0.633  0.899
Li  0.267  0.267  0.801
Li  0.733  0.733  0.199
Li  0.367  0.367  0.101
Li  0.093  0.093  0.280

DFT (GGA-PBE) results for LiMgCdGa after structural relaxation.

Unit cell a=4.709 b=4.709 c=4.709 alpha=60.00 beta=60.00 gamma=60.00
Element x y z (fractional)
Ga  0.250  0.250  0.250
Li  0.750  0.750  0.750
Mg  0.000  0.000  0.000
Cd  0.500  0.500  0.500

Ordered DFT total energy results: -2.2444; -2.0112; unit eV per atom.
Ordered density results: 2.91; 4.80; unit g/cm3.